Material: DySc2Hg3
Method: DFT, PBE
State: optimized geometry

Cell: 5.0403 15.1779 7.2550 Å, 90.00 90.00 90.00°
Space group Cmmm (No. 65)
Symmetry-distinct sites (fractional):
Dy  0.0000  0.1638  0.0000 (multiplicity 4)
Sc  0.0000  0.1696  0.5000 (multiplicity 4)
Sc  0.0000  0.5000  0.0000 (multiplicity 2)
Sc  0.0000  0.5000  0.5000 (multiplicity 2)
Hg  0.0000  0.0000  0.2667 (multiplicity 4)
Hg  0.0000  0.3367  0.2641 (multiplicity 8)

## Properties
calculated formation energy: -0.44 eV/atom
calculated volume: 23.1 Å³/atom